Record 1
Computed, not measured: a geometry-optimized CoTcMoPb structure at the PBE level of DFT.

## Properties
Total energy   -0.55108 Ry/atom
Total magnetic moment   8.0 μB per cell
Offset from the most stable computed form   0.000 eV per atom

Lattice parameters (Å, degrees): 6.3509 6.3509 6.3509 90.00 90.00 90.00
Last column: nearest neighbours and their distance in Å.
Space group F-43m (No. 216)
Inequivalent atoms, fractional coordinates:
Co: 0.0000 0.0000 0.0000 x4  4 Pb 2.75, 4 Mo 2.75
Tc: 0.0000 0.0000 0.5000 x4  4 Mo 2.75, 4 Pb 2.75
Mo: 0.2500 0.2500 0.2500 x4  4 Co 2.75, 4 Tc 2.75
Pb: 0.2500 0.2500 0.7500 x4  4 Tc 2.75, 4 Co 2.75

---

Record 2
Computed, not measured: a geometry-optimized ZnCoMoPb structure at the PBE level of DFT.

## Properties
Total energy   -0.37279 Ry/atom
Total magnetic moment   10.5 μB per cell
Offset from the most stable computed form   0.028 eV per atom

Lattice parameters (Å, degrees): 6.3885 6.3885 6.3885 90.00 90.00 90.00
Last column: nearest neighbours and their distance in Å.
Space group F-43m (No. 216)
Inequivalent atoms, fractional coordinates:
Zn: 0.0000 0.0000 0.0000 x4  4 Pb 2.77, 4 Mo 2.77
Co: 0.0000 0.0000 0.5000 x4  4 Mo 2.77, 4 Pb 2.77
Mo: 0.2500 0.2500 0.7500 x4  4 Co 2.77, 4 Zn 2.77
Pb: 0.2500 0.2500 0.2500 x4  4 Co 2.77, 4 Zn 2.77

---

Q: Among the records above, which one has the highest total energy?
A: ZnCoMoPb